LaGaAg2 PBE optimized geometry; crystal system = orthorhombic; total moment = 0.00 μB/cell; energy relative to the elements = -0.3295 eV per atom; calculated density = 7.60 g/cm3
1.0
-2.328 4.737 8.413
2.328 -4.737 8.413
2.328 4.737 -8.413
La Ga Ag
4 4 8
direct
0.209 0.209 0.000
0.271 0.000 0.271
0.729 0.000 0.729
0.791 0.791 0.000
0.087 0.348 0.738
0.390 0.652 0.738
0.610 0.348 0.262
0.913 0.652 0.262
0.078 0.578 0.500
0.166 0.815 0.352
0.415 0.415 0.000
0.463 0.815 0.648
0.537 0.185 0.352
0.585 0.585 0.000
0.834 0.185 0.648
0.922 0.422 0.500

La6Ir3Au2 PBE optimized geometry; crystal system = monoclinic; total moment = 0.00 μB/cell; energy relative to the elements = -0.7595 eV per atom; calculated density = 8.87 g/cm3
1.0
3.680 -6.363 0.000
3.680 6.363 0.000
-2.435 0.000 7.214
La Ir Au
6 3 2
direct
0.063 0.405 0.215
0.254 0.254 0.785
0.405 0.063 0.215
0.595 0.937 0.785
0.746 0.746 0.215
0.937 0.595 0.785
0.000 0.000 0.000
0.335 0.665 0.000
0.665 0.335 0.000
0.167 0.833 0.500
0.833 0.167 0.500